# 1
Below is a relaxed AcHoAgSn crystal, with properties calculated at the PBE level.

Lattice parameters (Å, degrees): 5.4826 5.4826 5.4826 60.00 60.00 60.00
Fractional positions:
Ac: 0.0000 0.0000 0.0000
Ho: 0.5000 0.5000 0.5000
Ag: 0.2500 0.2500 0.2500
Sn: 0.7500 0.7500 0.7500

Values from the calculation:
Mass density   8.8 g/cm3
ΔH_f (0 K)   -0.433 eV per atom
Fermi-level density of states   4.21 states/eV/f.u.

# 2
Below is a relaxed LiIn2Bi crystal, with properties calculated at the PBE level.

Lattice parameters (Å, degrees): 5.3439 5.3439 5.3439 59.99 59.99 59.99
Fractional positions:
Li: 0.0000 0.0000 0.0000
In: 0.4995 0.4995 0.4995
In: 0.7495 0.7495 0.7495
Bi: 0.2497 0.2497 0.2497

Values from the calculation:
Mass density   6.9 g/cm3
ΔH_f (0 K)   -0.121 eV per atom
Fermi-level density of states   0.81 states/eV/f.u.

# 3
Below is a relaxed GaHPbAu2 crystal, with properties calculated at the PBE level.

Lattice parameters (Å, degrees): 5.2171 5.2171 3.5025 90.00 90.00 90.00
Fractional positions:
Ga: 0.0000 0.0000 0.0000
H: 0.0000 0.0000 0.5000
Pb: 0.5000 0.5000 0.5000
Au: 0.0000 0.5000 0.0000
Au: 0.5000 0.0000 0.0000

Values from the calculation:
Mass density   11.7 g/cm3
E_tot   -3.26 eV/atom
Fermi-level density of states   1.29 states/eV/f.u.

# 4
Below is a relaxed Mn2IrCl crystal, with properties calculated at the PBE level.

Lattice parameters (Å, degrees): 8.8491 8.8491 8.8491 18.66 18.66 18.66
Fractional positions:
Mn: 0.0000 0.0000 0.0000
Mn: 0.2570 0.2570 0.2570
Ir: 0.5172 0.5172 0.5172
Cl: 0.7310 0.7310 0.7310

Values from the calculation:
Mass density   9.0 g/cm3
Energy relative to the elements, uncorrected   0.80 eV/f.u.
Distance to the lowest polymorph of the same formula   298.2 meV per atom
Fermi-level density of states   5.20 states/eV/f.u.

# 5
Below is a relaxed Al2Zn2Sn crystal, with properties calculated at the PBE level.

Lattice parameters (Å, degrees): 7.9701 7.9701 2.9679 90.00 90.00 90.00
Fractional positions:
Al: 0.1220 0.3780 0.0000
Al: 0.3780 0.8780 0.0000
Al: 0.6220 0.1220 0.0000
Al: 0.8780 0.6220 0.0000
Zn: 0.1762 0.6762 0.5000
Zn: 0.3238 0.1762 0.5000
Zn: 0.6762 0.8238 0.5000
Zn: 0.8238 0.3238 0.5000
Sn: 0.0000 0.0000 0.0000
Sn: 0.5000 0.5000 0.0000

Values from the calculation:
Mass density   5.3 g/cm3
Distance to the lowest polymorph of the same formula   41.7 meV per atom
ΔH_f (0 K)   0.128 eV per atom
Fermi-level density of states   1.88 states/eV/f.u.

# 6
Below is a relaxed CsCeReN4 crystal, with properties calculated at the PBE level.

Lattice parameters (Å, degrees): 6.1777 6.0987 8.3381 90.00 105.98 90.00
Fractional positions:
Cs: 0.2152 0.2500 0.4290
Cs: 0.7848 0.7500 0.5710
Ce: 0.2897 0.2500 0.9503
Ce: 0.7103 0.7500 0.0497
Re: 0.2392 0.7500 0.1397
Re: 0.7608 0.2500 0.8603
N: 0.0352 0.7500 0.9395
N: 0.0520 0.7500 0.2748
N: 0.4348 0.5162 0.1531
N: 0.4348 0.9838 0.1531
N: 0.5652 0.0162 0.8469
N: 0.5652 0.4838 0.8469
N: 0.9480 0.2500 0.7252
N: 0.9648 0.2500 0.0605

Values from the calculation:
Mass density   5.7 g/cm3
Energy relative to the elements, uncorrected   -4.40 eV/f.u.